{
  "formula": "Ac2CuAgO5",
  "functional": "PBE",
  "state": "relaxed",
  "e_form_raw_ev_per_atom": -1.921,
  "sg": "P4/mbm, No. 127",
  "cell": [[-3.226, 2.923, -3.501], [3.211, -3.195, -5.626], [-4.946, -5.261, 0.165]],
  "species": ["Ac", "Ac", "Ac", "Ac", "O", "O", "O", "O", "O", "O", "O", "O", "O", "O", "Cu", "Cu", "Ag", "Ag"],
  "fractional_positions": [[0.500, 0.182, 0.318], [0.500, 0.318, 0.818], [0.500, 0.682, 0.182], [0.500, 0.818, 0.682], [0.237, 0.625, 0.875], [0.500, 0.500, 0.500], [0.500, 0.000, 0.000], [0.763, 0.625, 0.875], [0.237, 0.875, 0.375], [0.763, 0.375, 0.125], [0.763, 0.875, 0.375], [0.237, 0.125, 0.625], [0.237, 0.375, 0.125], [0.763, 0.125, 0.625], [0.000, 0.000, 0.500], [0.000, 0.500, 0.000], [0.000, 0.500, 0.500], [0.000, 0.000, 0.000]]
}

***

{
  "formula": "BeIn3H",
  "functional": "PBE",
  "state": "relaxed",
  "de_polymorph_mev_per_atom": 0,
  "sg": "Pm-3m, No. 221",
  "cell": [[4.600, 0.000, 0.000], [0.000, 4.600, 0.000], [0.000, 0.000, 4.600]],
  "species": ["H", "In", "In", "In", "Be"],
  "fractional_positions": [[0.000, 0.000, 0.000], [0.000, 0.500, 0.000], [0.500, 0.000, 0.000], [0.000, 0.000, 0.500], [0.500, 0.500, 0.500]]
}

***

Number 1: VASP energy -6.3607 eV/atom, magnetic moment 0.00 μB/atom. Number 2: VASP energy -2.4721 eV/atom, magnetic moment 0.00 μB/atom.